# GaFeCoAg

A geometry-optimized GaFeCoAg structure (GGA-PBE, the Open Quantum Materials Database).

The space group is F-43m (No. 216) and the conventional cell measures 6.045, 6.045 and 6.045 Å, with angles of 90.00, 90.00 and 90.00 degrees. The inequivalent atoms are Ga at (0.000, 0.000, 0.000), Fe at (0.000, 0.000, 0.500), Co at (0.250, 0.250, 0.250) and Ag at (0.250, 0.250, 0.750).

The total moment comes out at 3.91 μB per formula unit. As for the total energy: -5.16 eV/atom.